(1)
The following is a PBEsol calculation of an optimized crystal structure of Ti2Ni2Ag, from the Alexandria database.

Lattice parameters (Å, degrees): 6.886 6.886 2.909 90.00 90.00 90.00
Element x y z (fractional)
Ti1 0.167 0.333 0.000
Ti2 0.333 0.833 0.000
Ti3 0.667 0.167 0.000
Ti4 0.833 0.667 0.000
Ni1 0.128 0.628 0.500
Ni2 0.372 0.128 0.500
Ni3 0.628 0.872 0.500
Ni4 0.872 0.372 0.500
Ag1 0.000 0.000 0.500
Ag2 0.500 0.500 0.500

Output
**E_form**: -0.309 eV per atom
**D(E_F)**: 0.81 states/eV per atom
**Theoretical density**: 7.73 g/cm³

=====

(2)
The following is a PBEsol calculation of an optimized crystal structure of TiNi3Ag, from the Alexandria database.

Lattice parameters (Å, degrees): 4.458 4.458 4.458 90.00 90.00 90.00
Element x y z (fractional)
Ti1 0.000 0.000 0.000
Ni1 0.000 0.500 0.500
Ni2 0.500 0.000 0.500
Ni3 0.500 0.500 0.000
Ag1 0.500 0.500 0.500

Output
**E_form**: 1.418 eV per atom
**D(E_F)**: 1.67 states/eV per atom
**Theoretical density**: 6.22 g/cm³

=====

(3)
The following is a PBEsol calculation of an optimized crystal structure of Ti3NiAg, from the Alexandria database.

Lattice parameters (Å, degrees): 4.475 4.475 4.475 90.00 90.00 90.00
Element x y z (fractional)
Ti1 0.000 0.000 0.500
Ti2 0.000 0.500 0.000
Ti3 0.500 0.000 0.000
Ni1 0.000 0.000 0.000
Ag1 0.500 0.500 0.500

Output
**E_form**: 0.415 eV per atom
**D(E_F)**: 1.90 states/eV per atom
**Theoretical density**: 5.75 g/cm³

=====

(4)
The following is a PBEsol calculation of an optimized crystal structure of Tl2NiAg, from the Alexandria database.

Lattice parameters (Å, degrees): 3.150 3.320 7.521 90.00 90.00 90.00
Element x y z (fractional)
Tl1 0.000 0.000 0.000
Tl2 0.500 0.500 0.345
Ni1 0.500 0.500 0.796
Ag1 0.000 0.000 0.611

Output
**E_form**: 0.240 eV per atom
**D(E_F)**: 0.61 states/eV per atom
**Theoretical density**: 12.14 g/cm³

=====

(5)
The following is a PBEsol calculation of an optimized crystal structure of TlNi2Ag2, from the Alexandria database.

Lattice parameters (Å, degrees): 8.365 8.365 8.365 157.59 157.59 31.90
Element x y z (fractional)
Tl1 0.000 0.000 0.000
Ni1 0.250 0.750 0.500
Ni2 0.750 0.250 0.500
Ag1 0.378 0.378 0.000
Ag2 0.622 0.622 0.000

Output
**E_form**: 0.422 eV per atom
**D(E_F)**: 1.25 states/eV per atom
**Theoretical density**: 10.50 g/cm³

=====

(6)
The following is a PBEsol calculation of an optimized crystal structure of TlNiAg3, from the Alexandria database.

Lattice parameters (Å, degrees): 5.085 5.085 5.085 90.00 90.00 90.00
Element x y z (fractional)
Tl1 0.000 0.000 0.000
Ni1 0.500 0.500 0.500
Ag1 0.000 0.000 0.500
Ag2 0.000 0.500 0.000
Ag3 0.500 0.000 0.000

Output
**E_form**: 1.405 eV per atom
**D(E_F)**: 2.25 states/eV per atom
**Theoretical density**: 7.41 g/cm³

=====

(7)
The following is a PBEsol calculation of an optimized crystal structure of NiAg2W, from the Alexandria database.

Lattice parameters (Å, degrees): 4.882 4.882 4.703 98.44 98.44 31.88
Element x y z (fractional)
Ni1 0.000 0.000 0.000
Ag1 0.254 0.254 0.754
Ag2 0.746 0.746 0.246
W1 0.500 0.500 0.500

Output
**E_form**: 0.466 eV per atom
**D(E_F)**: 0.66 states/eV per atom
**Theoretical density**: 13.01 g/cm³

=====

(8)
The following is a PBEsol calculation of an optimized crystal structure of Ni2AgW, from the Alexandria database.

Lattice parameters (Å, degrees): 4.093 5.037 5.037 30.23 90.00 90.00
Element x y z (fractional)
Ni1 0.000 0.000 0.000
Ni2 0.500 0.136 0.136
Ag1 0.000 0.739 0.739
W1 0.500 0.405 0.405

Output
**E_form**: 0.245 eV per atom
**D(E_F)**: 0.87 states/eV per atom
**Theoretical density**: 12.99 g/cm³

=====

(9)
The following is a PBEsol calculation of an optimized crystal structure of Y2Ni2Ag, from the Alexandria database.

Lattice parameters (Å, degrees): 5.207 5.207 5.207 121.08 121.08 88.14
Element x y z (fractional)
Y1 0.250 0.750 0.500
Y2 0.750 0.250 0.500
Ni1 0.151 0.151 0.000
Ni2 0.849 0.849 0.000
Ag1 0.500 0.500 0.000

Output
**E_form**: -0.203 eV per atom
**Energy above the most stable polymorph in this dataset**: 0.191 eV per atom
**D(E_F)**: 0.40 states/eV per atom
**Theoretical density**: 6.82 g/cm³

=====

(10)
The following is a PBEsol calculation of an optimized crystal structure of YNiAg2, from the Alexandria database.

Lattice parameters (Å, degrees): 5.020 5.007 4.126 65.86 65.54 48.60
Element x y z (fractional)
Y1 0.000 0.000 0.000
Ni1 0.250 0.250 0.250
Ag1 0.500 0.500 0.500
Ag2 0.750 0.750 0.750

Output
**E_form**: -0.154 eV per atom
**D(E_F)**: 0.47 states/eV per atom
**Theoretical density**: 8.69 g/cm³

=====

(11)
The following is a PBEsol calculation of an optimized crystal structure of YNiAg2, from the Alexandria database.

Lattice parameters (Å, degrees): 5.681 5.681 3.791 108.94 108.94 123.72
Element x y z (fractional)
Y1 0.000 0.000 0.000
Ni1 0.500 0.500 0.000
Ag1 0.000 0.500 0.500
Ag2 0.500 0.000 0.500

Output
**E_form**: 0.045 eV per atom
**D(E_F)**: 0.35 states/eV per atom
**Theoretical density**: 8.17 g/cm³

=====

(12)
The following is a PBEsol calculation of an optimized crystal structure of Y2Ni2Ag, from the Alexandria database.

Lattice parameters (Å, degrees): 7.108 7.108 3.665 90.00 90.00 90.00
Element x y z (fractional)
Y1 0.177 0.323 0.000
Y2 0.323 0.823 0.000
Y3 0.677 0.177 0.000
Y4 0.823 0.677 0.000
Ni1 0.119 0.619 0.500
Ni2 0.381 0.119 0.500
Ni3 0.619 0.881 0.500
Ni4 0.881 0.381 0.500
Ag1 0.000 0.000 0.500
Ag2 0.500 0.500 0.500

Output
**E_form**: -0.394 eV per atom
**Energy above the most stable polymorph in this dataset**: 0.000 eV per atom
**D(E_F)**: 0.67 states/eV per atom
**Theoretical density**: 7.23 g/cm³

=====

(13)
The following is a PBEsol calculation of an optimized crystal structure of YNiAg, from the Alexandria database.

Lattice parameters (Å, degrees): 4.548 4.548 4.548 60.00 60.00 60.00
Element x y z (fractional)
Y1 0.000 0.000 0.000
Ni1 0.750 0.750 0.750
Ag1 0.250 0.250 0.250

Output
**E_form**: 0.384 eV per atom
**D(E_F)**: 0.40 states/eV per atom
**Theoretical density**: 6.38 g/cm³

=====

(14)
The following is a PBEsol calculation of an optimized crystal structure of Zn2NiAg, from the Alexandria database.

Lattice parameters (Å, degrees): 3.829 3.829 3.630 90.00 90.00 90.00
Element x y z (fractional)
Zn1 0.000 0.500 0.000
Zn2 0.500 0.000 0.000
Ni1 0.000 0.000 0.500
Ag1 0.500 0.500 0.500

Output
**E_form**: -0.095 eV per atom
**D(E_F)**: 0.47 states/eV per atom
**Theoretical density**: 9.28 g/cm³

=====

(15)
The following is a PBEsol calculation of an optimized crystal structure of ZnNi2Ag, from the Alexandria database.

Lattice parameters (Å, degrees): 3.731 3.731 3.588 90.00 90.00 90.00
Element x y z (fractional)
Zn1 0.000 0.000 0.000
Ni1 0.000 0.500 0.500
Ni2 0.500 0.000 0.500
Ag1 0.500 0.500 0.000

Output
**E_form**: 0.019 eV per atom
**D(E_F)**: 1.19 states/eV per atom
**Theoretical density**: 9.66 g/cm³

=====

(16)
The following is a PBEsol calculation of an optimized crystal structure of ZnNi2Ag, from the Alexandria database.

Lattice parameters (Å, degrees): 4.138 4.138 4.138 60.00 60.00 60.00
Element x y z (fractional)
Zn1 0.000 0.000 0.000
Ni1 0.250 0.250 0.250
Ni2 0.500 0.500 0.500
Ag1 0.750 0.750 0.750

Output
**E_form**: 0.061 eV per atom
**D(E_F)**: 0.77 states/eV per atom
**Theoretical density**: 9.64 g/cm³

=====

(17)
The following is a PBEsol calculation of an optimized crystal structure of ZnNi2Ag, from the Alexandria database.

Lattice parameters (Å, degrees): 4.352 4.352 2.727 90.00 90.00 104.19
Element x y z (fractional)
Zn1 0.000 0.000 0.000
Ni1 0.000 0.500 0.500
Ni2 0.500 0.000 0.500
Ag1 0.500 0.500 0.000

Output
**E_form**: 0.025 eV per atom
**D(E_F)**: 0.77 states/eV per atom
**Theoretical density**: 9.64 g/cm³

=====

(18)
The following is a PBEsol calculation of an optimized crystal structure of Zr2Ni2Ag, from the Alexandria database.

Lattice parameters (Å, degrees): 7.020 7.020 3.258 90.00 90.00 90.00
Element x y z (fractional)
Zr1 0.171 0.329 0.000
Zr2 0.329 0.829 0.000
Zr3 0.671 0.171 0.000
Zr4 0.829 0.671 0.000
Ni1 0.125 0.625 0.500
Ni2 0.375 0.125 0.500
Ni3 0.625 0.875 0.500
Ni4 0.875 0.375 0.500
Ag1 0.000 0.000 0.500
Ag2 0.500 0.500 0.500

Output
**E_form**: -0.395 eV per atom
**Energy above the most stable polymorph in this dataset**: 0.000 eV per atom
**D(E_F)**: 0.75 states/eV per atom
**Theoretical density**: 8.43 g/cm³

=====

(19)
The following is a PBEsol calculation of an optimized crystal structure of ZrNiAg2, from the Alexandria database.

Lattice parameters (Å, degrees): 2.804 4.613 5.102 90.00 101.40 90.00
Element x y z (fractional)
Zr1 0.000 0.000 0.000
Ni1 0.500 0.000 0.500
Ag1 0.336 0.500 0.733
Ag2 0.664 0.500 0.267

Output
**E_form**: 0.022 eV per atom
**D(E_F)**: 0.66 states/eV per atom
**Theoretical density**: 9.38 g/cm³

=====

(20)
The following is a PBEsol calculation of an optimized crystal structure of ZrNiAg3, from the Alexandria database.

Lattice parameters (Å, degrees): 4.612 4.612 4.612 90.00 90.00 90.00
Element x y z (fractional)
Zr1 0.000 0.000 0.000
Ni1 0.500 0.500 0.500
Ag1 0.000 0.500 0.500
Ag2 0.500 0.000 0.500
Ag3 0.500 0.500 0.000

Output
**E_form**: 0.764 eV per atom
**D(E_F)**: 1.25 states/eV per atom
**Theoretical density**: 8.01 g/cm³